Density functional theory data (PBE) for a relaxed structure of KScTe.

Cell lengths 7.444, 7.444, 7.444 Å; angles 90.00, 90.00, 90.00 degrees
Space group F-43m (No. 216)
Unique sites:
K1 0.000 0.000 0.000 x4
Sc1 0.000 0.000 0.500 x4
Te1 0.250 0.250 0.250 x4

## Properties
- M_tot (μB/cell) = 7.3
- N(E_F) (states/eV per atom) = 1.882
- calculated volume (Å³/cell) = 413
- E above lowest polymorph (meV/atom) = 541
- formation energy (no corrections) (eV/atom) = -0.214